[1]
Here is crystalline CdCoSeN2 at its relaxed geometry from Alexandria via LeMat-Bulk. Energies are from PBE-GGA.

Total moment = 0.00 μB per cell
Energy = -4.740 eV per atom
Energy relative to the elements, uncorrected = 0.891 eV/atom
ΔE to the lowest computed polymorph = 0 meV per atom

Unit cell a=3.712 b=3.712 c=5.345 alpha=90.00 beta=90.00 gamma=90.00
Sites, in units of the cell vectors:
N 0.000 0.500 0.000
N 0.500 0.000 0.000
Co 0.000 0.000 0.000
Se 0.000 0.000 0.500
Cd 0.500 0.500 0.500


[2]
Here is crystalline Sr2CdCoN at its relaxed geometry from Alexandria via LeMat-Bulk. Energies are from PBE-GGA.

Total moment = 0.00 μB per cell
Energy = -4.311 eV per atom
Energy relative to the elements, uncorrected = -0.369 eV/atom

Unit cell a=5.552 b=5.552 c=3.595 alpha=90.00 beta=90.00 gamma=90.00
Sites, in units of the cell vectors:
Cd 0.500 0.500 0.500
Sr 0.000 0.500 0.000
Sr 0.500 0.000 0.000
Co 0.000 0.000 0.500
N 0.000 0.000 0.000


[3]
Here is crystalline TaCd2CoN at its relaxed geometry from Alexandria via LeMat-Bulk. Energies are from PBE-GGA.

Total moment = 0.00 μB per cell
Energy = -5.061 eV per atom
Energy relative to the elements, uncorrected = 0.761 eV/atom

Unit cell a=4.948 b=3.421 c=4.948 alpha=90.00 beta=90.00 gamma=90.00
Sites, in units of the cell vectors:
Co 0.000 0.500 0.000
Ta 0.500 0.500 0.500
Cd 0.000 0.000 0.500
Cd 0.500 0.000 0.000
N 0.000 0.000 0.000


[4]
Here is crystalline TaCdCoN2 at its relaxed geometry from Alexandria via LeMat-Bulk. Energies are from PBE-GGA.

Total moment = 2.76 μB per cell
Energy = -6.389 eV per atom
Energy relative to the elements, uncorrected = 0.916 eV/atom

Unit cell a=3.974 b=5.847 c=3.974 alpha=90.00 beta=90.00 gamma=90.00
Sites, in units of the cell vectors:
Cd 0.000 0.500 0.000
N 0.000 0.000 0.500
N 0.500 0.000 0.000
Co 0.500 0.500 0.500
Ta 0.000 0.000 0.000


[5]
Here is crystalline CdCoTc2N at its relaxed geometry from Alexandria via LeMat-Bulk. Energies are from PBE-GGA.

Total moment = 0.00 μB per cell
Energy = -7.249 eV per atom
Energy relative to the elements, uncorrected = 0.167 eV/atom

Unit cell a=4.084 b=4.084 c=3.925 alpha=90.00 beta=90.00 gamma=90.00
Sites, in units of the cell vectors:
Cd 0.500 0.500 0.500
Co 0.000 0.000 0.500
Tc 0.000 0.500 0.000
Tc 0.500 0.000 0.000
N 0.000 0.000 0.000


[6]
Here is crystalline CdCo2TcN at its relaxed geometry from Alexandria via LeMat-Bulk. Energies are from PBE-GGA.

Total moment = 2.35 μB per cell
Energy = -6.661 eV per atom
Energy relative to the elements, uncorrected = 0.103 eV/atom

Unit cell a=3.932 b=3.932 c=4.003 alpha=90.00 beta=90.00 gamma=90.00
Sites, in units of the cell vectors:
Co 0.500 0.000 0.000
Co 0.000 0.500 0.000
Tc 0.000 0.000 0.500
Cd 0.500 0.500 0.500
N 0.000 0.000 0.000


no.,volume (A^3/atom)
1,14.73
2,22.17
3,16.75
4,18.47
5,13.09
6,12.38